Compound: Be2SbTe
Source: Alexandria via LeMat-Bulk
Functional: PBE
Structure: optimized geometry

Cell: 6.8624 6.8624 6.8624 Å, 130.99 130.99 71.83°
Positions (direct):
Be1 0.1221 0.6250 0.9971
Be2 0.3750 0.3721 0.4971
Be3 0.6279 0.1250 0.0029
Be4 0.8750 0.8779 0.5029
Sb1 0.2500 0.7500 0.5000
Sb2 0.5000 0.5000 0.0000
Te1 0.0000 0.0000 0.0000
Te2 0.7500 0.2500 0.5000

Summary:
excess energy over the best structure of this formula in the dataset = 0.0 kJ/mol of formula units
E_form (uncorrected) = 22 meV/atom


Compound: MgCo2Mo
Source: Alexandria via LeMat-Bulk
Functional: PBE
Structure: optimized geometry

Cell: 4.3448 4.3448 5.1248 Å, 95.53 95.53 35.67°
Positions (direct):
Mg1 0.0000 0.0000 0.0000
Co1 0.2495 0.2495 0.7174
Co2 0.7505 0.7505 0.2826
Mo1 0.5000 0.5000 0.5000

Summary:
E_form = 0.29 eV per atom


Compound: KTcW4
Source: Alexandria via LeMat-Bulk
Functional: PBE
Structure: optimized geometry

Cell: 5.3856 5.3856 5.3856 Å, 60.00 60.00 60.00°
Positions (direct):
K1 0.0000 0.0000 0.0000
Tc1 0.7500 0.7500 0.7500
W1 0.3747 0.3747 0.3747
W2 0.3747 0.3747 0.8760
W3 0.3747 0.8760 0.3747
W4 0.8760 0.3747 0.3747

Summary:
E_form = 1.15 eV per atom


Compound: CaNd2InN
Source: Alexandria via LeMat-Bulk
Functional: PBE
Structure: optimized geometry

Cell: 5.0574 5.0574 4.9026 Å, 90.00 90.00 90.00°
Positions (direct):
Ca1 0.0000 0.0000 0.0000
Nd1 0.0000 0.5000 0.5000
Nd2 0.5000 0.0000 0.5000
In1 0.5000 0.5000 0.0000
N1 0.0000 0.0000 0.5000

Summary:
E_form (uncorrected) = -824 meV/atom


Compound: Ca2CrSbPd
Source: Alexandria via LeMat-Bulk
Functional: PBE
Structure: optimized geometry

Cell: 5.4208 5.4208 4.9740 Å, 90.00 90.00 90.00°
Positions (direct):
Ca1 0.0000 0.5000 0.0000
Ca2 0.5000 0.0000 0.0000
Cr1 0.0000 0.0000 0.5000
Sb1 0.5000 0.5000 0.5000
Pd1 0.5000 0.5000 0.0000

Summary:
E_form (uncorrected) = 521 meV/atom


Compound: KHgH3
Source: Alexandria via LeMat-Bulk
Functional: PBE
Structure: optimized geometry

Cell: 4.8547 4.8547 4.8547 Å, 90.00 90.00 90.00°
Positions (direct):
K1 0.0000 0.0000 0.0000
Hg1 0.5000 0.5000 0.5000
H1 0.0000 0.0000 0.5000
H2 0.0000 0.5000 0.0000
H3 0.5000 0.0000 0.0000

Summary:
excess energy over the best structure of this formula in the dataset = 432.7 kJ/mol of formula units


Compound: Ce2Ga3Ni4Pt
Source: Alexandria via LeMat-Bulk
Functional: PBE
Structure: optimized geometry

Cell: 3.8427 3.8427 11.2932 Å, 90.00 90.00 90.00°
Positions (direct):
Ce1 0.0000 0.5000 0.2358
Ce2 0.5000 0.0000 0.7642
Ga1 0.0000 0.0000 0.0000
Ga2 0.0000 0.5000 0.6266
Ga3 0.5000 0.0000 0.3734
Ni1 0.0000 0.0000 0.5000
Ni2 0.0000 0.5000 0.8408
Ni3 0.5000 0.0000 0.1592
Ni4 0.5000 0.5000 0.5000
Pt1 0.5000 0.5000 0.0000

Summary:
E_form = -0.56 eV per atom


Compound: TcCl3
Source: Alexandria via LeMat-Bulk
Functional: PBE
Structure: optimized geometry

Cell: 5.0644 5.0644 5.0644 Å, 110.80 110.80 110.80°
Positions (direct):
Tc1 0.0000 0.0000 0.0000
Cl1 0.0000 0.5000 0.5000
Cl2 0.5000 0.0000 0.5000
Cl3 0.5000 0.5000 0.0000

Summary:
excess energy over the best structure of this formula in the dataset = 512.4 kJ/mol of formula units
E_form (uncorrected) = 615 meV/atom


no.,Fermi-level density of states (states/eV/atom)
1,0.607
2,0.896
3,0.477
4,0.368
5,1.535
6,0.335
7,0.893
8,0.949